VASP calculation (GGA-PBE) on ZrPa2PtN5 after structural relaxation.

Its space-group type is No. 36. The total energy is -9.429 eV/atom. The value obtained for the formation energy without anion corrections is -1073 meV/atom.

Cell: 3.4096 6.6914 10.5994 Å, 90.00 90.00 104.76°
Closest atoms and distances in Å follow each position.
Atoms (fractional coordinates):
Zr1 0.7967 0.5933 0.5107  4 N 2.11-2.29
Zr2 0.2033 0.4067 0.0107  4 N 2.11-2.29
Pa1 0.8538 0.7077 0.8010  6 N 2.33-2.49
Pa2 0.0999 0.1999 0.6787  4 N 2.20-2.44
Pa3 0.1462 0.2923 0.3010  6 N 2.33-2.49
Pa4 0.9001 0.8001 0.1787  4 N 2.20-2.44
Pt1 0.5273 0.0547 0.9486  3 N 2.04-2.18
Pt2 0.4727 0.9453 0.4486  3 N 2.04-2.18
N1 0.3696 0.7392 0.9938  1 Pt 2.10, 1 Zr 2.16
N2 0.6823 0.3647 0.8686  1 Pt 2.18, 2 Zr 2.29, 1 Pa 2.33
N3 0.4843 0.9686 0.7639  1 Pt 2.04
N4 0.2729 0.5458 0.6645  3 Pa 2.24-2.47, 2 Zr 2.38
N5 0.9445 0.8889 0.5942  1 Zr 2.11, 1 Pa 2.20, 2 Pt 2.33
N6 0.6304 0.2608 0.4938  1 Pt 2.10, 1 Zr 2.16
N7 0.3177 0.6353 0.3686  1 Pt 2.18, 2 Zr 2.29, 1 Pa 2.33
N8 0.5157 0.0314 0.2639  1 Pt 2.04
N9 0.7271 0.4542 0.1645  3 Pa 2.24-2.47, 2 Zr 2.38
N10 0.0555 0.1111 0.0942  1 Zr 2.11, 1 Pa 2.20, 2 Pt 2.33